8
Lattice="-3.3011 0.1096 -0.3521 -0.4805 -5.5667 2.7726 -0.2223 4.9263 3.6178" Properties=species:S:1:pos:R:3 comment="Ca2CdAgO4 | Alexandria | PBE | relaxed" energy_ev_per_atom=-5.168 dos_ef_per_ev_atom=0.07 crystal_system=monoclinic raw_formation_energy_kj_per_mol_atoms=-165.7 sg=P2/m pbc="T T T"
O -1.8131 0.0437 1.3449
O -0.4064 -2.6532 2.9853
O -0.2964 2.0128 3.4051
O -2.1908 -0.5746 4.6934
Ca -0.3514 -0.3202 3.1952
Ca -1.7617 2.5179 1.6329
Ag 0.0000 0.0000 0.0000
Cd -1.8908 -2.7286 1.2102